(1)
VASP calculation (PBE-GGA) on an optimized crystal structure of Fe2ReRuN.

The structure belongs to space group P4/mmm (No. 123); the cell edges are 3.844, 3.844 and 3.969 Å and the angles 90.00°, 90.00° and 90.00°. The inequivalent atoms are Fe at (0.000, 0.500, 0.000), Re at (0.000, 0.000, 0.500), Ru at (0.500, 0.500, 0.500) and N at (0.000, 0.000, 0.000).

The value obtained for the total magnetization is 3.7 μB/f.u. The calculation puts the formation energy from raw total energies at 0.15 eV/atom.

(2)
VASP calculation (PBE-GGA) on an optimized crystal structure of Na3CdHg2.

The structure belongs to space group Ibam (No. 72); the cell edges are 6.393, 16.833 and 6.221 Å and the angles 90.00°, 90.00° and 90.00°. The inequivalent atoms are Na at (0.000, 0.000, 0.250), Na at (0.236, 0.181, 0.000), Cd at (0.000, 0.500, 0.250) and Hg at (0.232, 0.367, 0.000).

The value obtained for the energy above the most stable polymorph in this dataset is 24 meV/atom. The value obtained for the total magnetization is 0.0 μB/f.u.

(3)
VASP calculation (PBE-GGA) on an optimized crystal structure of TaRuRh2.

The structure belongs to space group R3m (No. 160, hexagonal axes); the cell edges are 2.7848, 2.7848 and 27.0906 Å and the angles 90.00°, 90.00° and 120.00°. The inequivalent atoms are Ta at (0.0000, 0.0000, 0.0000), Ru at (0.0000, 0.0000, 0.2456), Rh at (0.0000, 0.0000, 0.5003) and Rh at (0.0000, 0.0000, 0.7497).

The value obtained for the energy above the most stable polymorph in this dataset is 453 meV/atom. The value obtained for the total magnetization is 0.0 μB/f.u.

(4)
VASP calculation (PBE-GGA) on an optimized crystal structure of ZnCdCuAu2.

The structure belongs to space group P3m1 (No. 156); the cell edges are 3.8289, 3.8289 and 7.6942 Å and the angles 90.00°, 90.00° and 120.00°. The inequivalent atoms are Zn at (0.0000, 0.0000, 0.0000), Cd at (0.6667, 0.3333, 0.4201), Cu at (0.3333, 0.6667, 0.8326), Au at (0.0000, 0.0000, 0.6525) and Au at (0.3333, 0.6667, 0.1832).

The value obtained for the total magnetization is 0.0 μB/f.u. For the electronic total energy, the calculation gives -2.582 eV per atom.

(5)
VASP calculation (PBE-GGA) on an optimized crystal structure of Cd2Pd2O7.

The structure belongs to space group Fd-3m (No. 227, origin choice 2); the cell edges are 10.236, 10.236 and 10.236 Å and the angles 90.00°, 90.00° and 90.00°. The inequivalent atoms are Cd at (0.000, 0.000, 0.000), Pd at (0.000, 0.000, 0.500), O at (0.083, 0.375, 0.875) and O at (0.125, 0.125, 0.125).

The value obtained for the total magnetization is 1.8 μB/f.u. The calculation puts the formation energy from raw total energies at -0.53 eV/atom.

(6)
VASP calculation (PBE-GGA) on an optimized crystal structure of KAsBr3.

The structure belongs to space group P2_1/c (No. 14); the cell edges are 8.911, 8.857 and 9.888 Å and the angles 90.00°, 104.73° and 90.00°. The inequivalent atoms are K at (0.113, 0.003, 0.226), As at (0.496, 0.141, 0.042), Br at (0.183, 0.215, 0.967), Br at (0.211, 0.698, 0.430) and Br at (0.491, 0.549, 0.225).

The value obtained for the energy above the most stable polymorph in this dataset is 13 meV/atom. The value obtained for the total magnetization is 0.0 μB/f.u. The calculation puts the formation energy from raw total energies at -0.88 eV/atom.

(7)
VASP calculation (PBE-GGA) on an optimized crystal structure of KBeHg4.

The structure belongs to space group F-43m (No. 216); the cell edges are 8.834, 8.834 and 8.834 Å and the angles 90.00°, 90.00° and 90.00°. The inequivalent atoms are K at (0.000, 0.000, 0.000), Be at (0.250, 0.250, 0.750) and Hg at (0.125, 0.125, 0.375).

The value obtained for the total magnetization is 0.0 μB/f.u. For the electronic total energy, the calculation gives -0.666 eV per atom.

(8)
VASP calculation (PBE-GGA) on an optimized crystal structure of TiNiI2N.

The structure belongs to space group P4/mmm (No. 123); the cell edges are 5.618, 5.618 and 3.721 Å and the angles 90.00°, 90.00° and 90.00°. The inequivalent atoms are Ti at (0.000, 0.000, 0.000), Ni at (0.500, 0.500, 0.500), I at (0.000, 0.500, 0.000) and N at (0.000, 0.000, 0.500).

The value obtained for the energy above the most stable polymorph in this dataset is 0 meV/atom. The value obtained for the total magnetization is 0.8 μB/f.u. The calculation puts the formation energy from raw total energies at 0.33 eV/atom.

Question: Which formula does entry 5 have?
Answer: Cd2Pd2O7